Record 1
DFT (PBE-GGA) results for an optimized crystal structure of BaNiAsBr2.

The structure in CIF format:
```
data_BaNiAsBr2
_chemical_formula_sum 'Ba1 Ni1 As1 Br2'
_cell_length_a 5.263
_cell_length_b 5.263
_cell_length_c 4.706
_cell_angle_alpha 90.00
_cell_angle_beta 90.00
_cell_angle_gamma 90.00
_symmetry_space_group_name_H-M 'P 4/m m m'
_symmetry_Int_Tables_number 123
_symmetry_space_group_name_Hall '-P 4 2'
loop_
_atom_site_label
_atom_site_fract_x
_atom_site_fract_y
_atom_site_fract_z
Ba1 0.000 0.000 0.000
Ni1 0.500 0.500 0.500
As1 0.500 0.500 0.000
Br1 0.000 0.500 0.500
```

***

Record 2
DFT (PBE-GGA) results for an optimized crystal structure of CrTcHg2.

Values from the calculation:
The energy of formation comes out at 7.55 kcal/mol of atoms. The energy relative to the lowest polymorph listed for this composition is 0 meV/atom.

The structure in CIF format:
```
data_CrTcHg2
_chemical_formula_sum 'Cr1 Tc1 Hg2'
_cell_length_a 3.000
_cell_length_b 2.987
_cell_length_c 8.256
_cell_angle_alpha 90.00
_cell_angle_beta 97.74
_cell_angle_gamma 90.00
_symmetry_space_group_name_H-M 'P 1 m 1'
_symmetry_Int_Tables_number 6
loop_
_symmetry_equiv_pos_as_xyz
'x,y,z'
'x,-y,z'
loop_
_atom_site_label
_atom_site_fract_x
_atom_site_fract_y
_atom_site_fract_z
Cr1 0.000 0.000 0.000
Tc1 0.563 0.500 0.156
Hg1 0.157 0.000 0.420
Hg2 0.402 0.500 0.747
```

***

Record 3
DFT (PBE-GGA) results for an optimized crystal structure of RbCd2HgBi.

Values from the calculation:
The energy of formation comes out at -3.55 kcal/mol of atoms.

The structure in CIF format:
```
data_RbCd2HgBi
_chemical_formula_sum 'Rb2 Cd4 Hg2 Bi2'
_cell_length_a 5.043
_cell_length_b 5.110
_cell_length_c 12.756
_cell_angle_alpha 90.00
_cell_angle_beta 90.00
_cell_angle_gamma 90.00
_symmetry_space_group_name_H-M 'I m m 2'
_symmetry_Int_Tables_number 44
loop_
_symmetry_equiv_pos_as_xyz
'x,y,z'
'-x,-y,z'
'-x,y,z'
'x,-y,z'
'x+1/2,y+1/2,z+1/2'
'-x+1/2,-y+1/2,z+1/2'
'-x+1/2,y+1/2,z+1/2'
'x+1/2,-y+1/2,z+1/2'
loop_
_atom_site_label
_atom_site_fract_x
_atom_site_fract_y
_atom_site_fract_z
Rb1 0.000 0.000 0.000
Cd1 0.000 0.000 0.380
Cd2 0.000 0.500 0.251
Hg1 0.000 0.500 0.763
Bi1 0.000 0.000 0.615
```

***

Number 1: D(E_F) 3.74 states/eV/cell, DFT total energy -3.88 eV/atom. Number 2: D(E_F) 2.05 states/eV/cell, DFT total energy -4.82 eV/atom. Number 3: D(E_F) 5.61 states/eV/cell, DFT total energy -1.55 eV/atom.